DFT (PBE) results for crystalline RbGa2Cl6 at its relaxed geometry.

Cell: 15.057 13.007 7.930 Å, 90.00 114.36 90.00°
Space group C2/c (No. 15)
One atom of each set of equivalent atoms:
Rb1 0.000 0.147 0.250
Ga1 0.214 0.419 0.190
Cl1 0.124 0.062 0.685
Cl2 0.154 0.499 0.893
Cl3 0.179 0.252 0.174

Properties
* energy relative to the elements, uncorrected: -1206 meV per atom